No. 1
First-principles (GGA-PBE) data for a relaxed Si2AsIrRh crystal, as listed in Alexandria via LeMat-Bulk.

Cell: 4.457 4.457 5.181 Å, 90.00 90.00 90.00°
Space group P4/mmm (No. 123)
Unique sites:
Si 0.000 0.500 0.000 x2
As 0.000 0.000 0.500 x1
Ir 0.500 0.500 0.000 x1
Rh 0.500 0.500 0.500 x1

Output
ΔE_f (raw): 0.628 eV/atom

***

No. 2
First-principles (GGA-PBE) data for a relaxed Sm2As4Ir3Rh crystal, as listed in Alexandria via LeMat-Bulk.

Cell: 4.282 4.282 10.078 Å, 90.00 90.00 90.00°
Space group P-4m2 (No. 115)
Unique sites:
Sm 0.000 0.500 0.249 x2
As 0.000 0.000 0.000 x1
As 0.000 0.500 0.637 x2
As 0.500 0.500 0.000 x1
Ir 0.000 0.500 0.878 x2
Ir 0.500 0.500 0.500 x1
Rh 0.000 0.000 0.500 x1

Output
Energy relative to the elements: -784 meV per atom

***

No. 3
First-principles (GGA-PBE) data for a relaxed Sr2As3IrRh4 crystal, as listed in Alexandria via LeMat-Bulk.

Cell: 4.320 4.320 10.240 Å, 90.00 90.00 90.00°
Space group P-4m2 (No. 115)
Unique sites:
Sr 0.000 0.500 0.249 x2
As 0.000 0.000 0.000 x1
As 0.000 0.500 0.633 x2
Ir 0.500 0.500 0.000 x1
Rh 0.000 0.000 0.500 x1
Rh 0.000 0.500 0.874 x2
Rh 0.500 0.500 0.500 x1

Output
Energy relative to the elements: -616 meV per atom

***

No. 4
First-principles (GGA-PBE) data for a relaxed SrAs2IrRh crystal, as listed in Alexandria via LeMat-Bulk.

Cell: 4.082 4.082 12.240 Å, 90.00 90.00 90.00°
Space group I-4m2 (No. 119)
Unique sites:
Sr 0.000 0.000 0.000 x2
As 0.000 0.000 0.365 x4
Ir 0.000 0.500 0.750 x2
Rh 0.000 0.500 0.250 x2

Output
Energy relative to the elements: -713 meV per atom

***

No. 5
First-principles (GGA-PBE) data for a relaxed Sr2As4IrRh3 crystal, as listed in Alexandria via LeMat-Bulk.

Cell: 4.318 4.318 10.258 Å, 90.00 90.00 90.00°
Space group P-4m2 (No. 115)
Unique sites:
Sr 0.000 0.500 0.243 x2
As 0.000 0.000 0.000 x1
As 0.000 0.500 0.633 x2
As 0.500 0.500 0.000 x1
Ir 0.000 0.000 0.500 x1
Rh 0.000 0.500 0.877 x2
Rh 0.500 0.500 0.500 x1

Output
Energy relative to the elements: -725 meV per atom

***

No. 6
First-principles (GGA-PBE) data for a relaxed Sr2As4Ir3Rh crystal, as listed in Alexandria via LeMat-Bulk.

Cell: 4.365 4.365 10.099 Å, 90.00 90.00 90.00°
Space group P-4m2 (No. 115)
Unique sites:
Sr 0.000 0.500 0.244 x2
As 0.000 0.000 0.000 x1
As 0.000 0.500 0.633 x2
As 0.500 0.500 0.000 x1
Ir 0.000 0.500 0.880 x2
Ir 0.500 0.500 0.500 x1
Rh 0.000 0.000 0.500 x1

Output
Energy relative to the elements: -639 meV per atom

***

No. 7
First-principles (GGA-PBE) data for a relaxed TbAs2IrRh5 crystal, as listed in Alexandria via LeMat-Bulk.

Cell: 3.917 3.917 11.233 Å, 90.00 90.00 90.00°
Space group P4/mmm (No. 123)
Unique sites:
Tb 0.000 0.000 0.000 x1
As 0.500 0.500 0.213 x2
Ir 0.500 0.500 0.500 x1
Rh 0.000 0.500 0.350 x4
Rh 0.500 0.500 0.000 x1

Output
Energy relative to the elements: -107 meV per atom

***

No. 8
First-principles (GGA-PBE) data for a relaxed ThAsIrRh crystal, as listed in Alexandria via LeMat-Bulk.

Cell: 4.392 4.001 9.308 Å, 90.00 90.00 90.00°
Space group Amm2 (No. 38)
Unique sites:
Th 0.000 0.000 0.000 x2
As 0.500 0.000 0.608 x2
Ir 0.000 0.000 0.719 x2
Rh 0.500 0.000 0.334 x2

Output
Energy relative to the elements: -546 meV per atom

***

No. 9
First-principles (GGA-PBE) data for a relaxed Th2As3Ir4Rh crystal, as listed in Alexandria via LeMat-Bulk.

Cell: 4.072 4.072 11.308 Å, 90.00 90.00 90.00°
Space group P-4m2 (No. 115)
Unique sites:
Th 0.000 0.500 0.236 x2
As 0.000 0.000 0.000 x1
As 0.000 0.500 0.626 x2
Ir 0.000 0.000 0.500 x1
Ir 0.000 0.500 0.835 x2
Ir 0.500 0.500 0.500 x1
Rh 0.500 0.500 0.000 x1

Output
Energy relative to the elements: -690 meV per atom

***

No. 10
First-principles (GGA-PBE) data for a relaxed ThAs2IrRh2 crystal, as listed in Alexandria via LeMat-Bulk.

Cell: 4.710 4.710 5.508 Å, 90.00 90.00 90.00°
Space group P4/mmm (No. 123)
Unique sites:
Th 0.000 0.000 0.000 x1
As 0.000 0.500 0.500 x2
Ir 0.000 0.000 0.500 x1
Rh 0.500 0.500 0.238 x2

Output
Energy relative to the elements: -127 meV per atom

***

No. 11
First-principles (GGA-PBE) data for a relaxed Th2As4IrRh3 crystal, as listed in Alexandria via LeMat-Bulk.

Cell: 4.334 4.334 9.902 Å, 90.00 90.00 90.00°
Space group P-4m2 (No. 115)
Unique sites:
Th 0.000 0.500 0.250 x2
As 0.000 0.000 0.000 x1
As 0.000 0.500 0.637 x2
As 0.500 0.500 0.000 x1
Ir 0.000 0.000 0.500 x1
Rh 0.000 0.500 0.880 x2
Rh 0.500 0.500 0.500 x1

Output
Energy relative to the elements: -898 meV per atom

***

No. 12
First-principles (GGA-PBE) data for a relaxed TlAsIrRh2 crystal, as listed in Alexandria via LeMat-Bulk.

Cell: 4.930 4.930 4.587 Å, 90.00 90.00 90.00°
Space group P4/mmm (No. 123)
Unique sites:
Tl 0.000 0.000 0.000 x1
As 0.500 0.500 0.000 x1
Ir 0.500 0.500 0.500 x1
Rh 0.000 0.500 0.500 x2

Output
Energy relative to the elements: 854 meV per atom

***

No. 13
First-principles (GGA-PBE) data for a relaxed TmAs2IrRh5 crystal, as listed in Alexandria via LeMat-Bulk.

Cell: 3.888 3.888 11.305 Å, 90.00 90.00 90.00°
Space group P4/mmm (No. 123)
Unique sites:
Tm 0.000 0.000 0.000 x1
As 0.500 0.500 0.211 x2
Ir 0.500 0.500 0.500 x1
Rh 0.000 0.500 0.350 x4
Rh 0.500 0.500 0.000 x1

Output
Energy relative to the elements: -101 meV per atom

***

No. 14
First-principles (GGA-PBE) data for a relaxed UAs2IrRh2 crystal, as listed in Alexandria via LeMat-Bulk.

Cell: 3.828 7.975 6.857 Å, 90.00 90.00 90.00°
Space group Pmc2_1 (No. 26)
Unique sites:
U 0.000 0.064 0.000 x2
As 0.000 0.398 0.791 x2
As 0.500 0.181 0.303 x2
Ir 0.500 0.137 0.698 x2
Rh 0.000 0.328 0.449 x2
Rh 0.500 0.387 0.025 x2

Output
Energy relative to the elements: -437 meV per atom

***

No. 15
First-principles (GGA-PBE) data for a relaxed As2IrRu crystal, as listed in Alexandria via LeMat-Bulk.

Cell: 4.280 4.280 3.310 Å, 90.00 90.00 90.00°
Space group P4/mmm (No. 123)
Unique sites:
As 0.000 0.500 0.000 x2
Ir 0.000 0.000 0.500 x1
Ru 0.500 0.500 0.500 x1

Output
ΔE to the lowest computed polymorph: 0.83 eV per formula unit
Energy relative to the elements: 135 meV per atom

***

No. 16
First-principles (GGA-PBE) data for a relaxed AsIrRu2 crystal, as listed in Alexandria via LeMat-Bulk.

Cell: 2.8392 2.8392 24.8172 Å, 90.00 90.00 120.00°
Space group R-3m (No. 166, hexagonal axes)
Unique sites:
As 0.0000 0.0000 0.0000 x3
Ir 0.0000 0.0000 0.5000 x3
Ru 0.0000 0.0000 0.2544 x6

Output
Energy relative to the elements: 120 meV per atom

***

No. 17
First-principles (GGA-PBE) data for a relaxed AsIrRu2 crystal, as listed in Alexandria via LeMat-Bulk.

Cell: 3.861 3.861 3.894 Å, 90.00 90.00 90.00°
Space group P4/mmm (No. 123)
Unique sites:
As 0.000 0.000 0.000 x1
Ir 0.500 0.500 0.000 x1
Ru 0.000 0.500 0.500 x2

Output
Energy relative to the elements: 253 meV per atom

***

No. 18
First-principles (GGA-PBE) data for a relaxed AsIrRu2 crystal, as listed in Alexandria via LeMat-Bulk.

Cell: 5.512 5.512 11.047 Å, 90.00 90.00 90.00°
Space group I-42d (No. 122)
Unique sites:
As 0.000 0.000 0.000 x4
Ir 0.000 0.000 0.500 x4
Ru 0.250 0.250 0.125 x8

Output
Energy relative to the elements: 647 meV per atom

***

No. 19
First-principles (GGA-PBE) data for a relaxed As2IrRu crystal, as listed in Alexandria via LeMat-Bulk.

Cell: 2.9941 2.9941 23.4806 Å, 90.00 90.00 120.00°
Space group R-3m (No. 166, hexagonal axes)
Unique sites:
As 0.0000 0.0000 0.2472 x6
Ir 0.0000 0.0000 0.0000 x3
Ru 0.0000 0.0000 0.5000 x3

Output
ΔE to the lowest computed polymorph: 0.34 eV per formula unit
Energy relative to the elements: 12 meV per atom

***

No. 20
First-principles (GGA-PBE) data for a relaxed AsIrRu2 crystal, as listed in Alexandria via LeMat-Bulk.

Cell: 2.867 2.867 6.959 Å, 90.00 90.00 90.00°
Space group P4/mmm (No. 123)
Unique sites:
As 0.000 0.000 0.000 x1
Ir 0.000 0.000 0.500 x1
Ru 0.500 0.500 0.233 x2

Output
Energy relative to the elements: 105 meV per atom

***

No. 21
First-principles (GGA-PBE) data for a relaxed As2IrRu crystal, as listed in Alexandria via LeMat-Bulk.

Cell: 2.942 2.942 7.994 Å, 90.00 90.00 90.00°
Space group P4mm (No. 99)
Unique sites:
As 0.000 0.000 0.000 x1
As 0.500 0.500 0.382 x1
Ir 0.000 0.000 0.570 x1
Ru 0.500 0.500 0.820 x1

Output
ΔE to the lowest computed polymorph: 0.11 eV per formula unit
Energy relative to the elements: -47 meV per atom

***

No. 22
First-principles (GGA-PBE) data for a relaxed As2IrRu crystal, as listed in Alexandria via LeMat-Bulk.

Cell: 2.9194 2.9194 29.7990 Å, 90.00 90.00 120.00°
Space group R3m (No. 160, hexagonal axes)
Unique sites:
As 0.0000 0.0000 0.0000 x3
As 0.0000 0.0000 0.2018 x3
Ir 0.0000 0.0000 0.4713 x3
Ru 0.0000 0.0000 0.7273 x3

Output
ΔE to the lowest computed polymorph: 0.55 eV per formula unit
Energy relative to the elements: 64 meV per atom

***

No. 23
First-principles (GGA-PBE) data for a relaxed AsIrRu4 crystal, as listed in Alexandria via LeMat-Bulk.

Cell: 7.207 7.207 7.207 Å, 90.00 90.00 90.00°
Space group F-43m (No. 216)
Unique sites:
As 0.000 0.000 0.000 x4
Ir 0.250 0.250 0.750 x4
Ru 0.124 0.124 0.376 x16

Output
Energy relative to the elements: 796 meV per atom

***

No. 24
First-principles (GGA-PBE) data for a relaxed AsIrRu2 crystal, as listed in Alexandria via LeMat-Bulk.

Cell: 2.783 4.790 9.048 Å, 90.00 90.00 90.00°
Space group Cmm2 (No. 35)
Unique sites:
As 0.000 0.000 0.000 x2
Ir 0.000 0.500 0.253 x2
Ru 0.000 0.000 0.507 x2
Ru 0.000 0.500 0.754 x2

Output
Energy relative to the elements: 482 meV per atom

***

No. 25
First-principles (GGA-PBE) data for a relaxed AsIrRu2 crystal, as listed in Alexandria via LeMat-Bulk.

Cell: 2.802 3.713 5.599 Å, 90.00 90.00 90.00°
Space group Pmmm (No. 47)
Unique sites:
As 0.000 0.000 0.000 x1
Ir 0.000 0.000 0.500 x1
Ru 0.500 0.500 0.256 x2

Output
Energy relative to the elements: 194 meV per atom

***

No. 26
First-principles (GGA-PBE) data for a relaxed AsIrRu2 crystal, as listed in Alexandria via LeMat-Bulk.

Cell: 3.953 3.953 7.350 Å, 90.00 90.00 90.00°
Space group I4/mmm (No. 139)
Unique sites:
As 0.000 0.000 0.000 x2
Ir 0.000 0.000 0.500 x2
Ru 0.000 0.500 0.250 x4

Output
Energy relative to the elements: 143 meV per atom

***

No. 27
First-principles (GGA-PBE) data for a relaxed As2IrRu crystal, as listed in Alexandria via LeMat-Bulk.

Cell: 2.966 5.134 8.342 Å, 90.00 90.00 90.00°
Space group Cmmm (No. 65)
Unique sites:
As 0.000 0.000 0.244 x4
Ir 0.000 0.500 0.500 x2
Ru 0.000 0.500 0.000 x2

Output
ΔE to the lowest computed polymorph: 1.86 eV per formula unit
Energy relative to the elements: 391 meV per atom